# 1
Material: NpCdHg
Method: DFT, PBE
State: optimized geometry

The calculation puts the volume at 85.74 Å³/cell. As for the total magnetic moment: 4.5 μB per formula unit. The calculation puts the formation energy from the elements at 396.8 meV/atom.

abc: 4.950 4.950 4.950
angles: 60.00 60.00 60.00
Each line ends with the local moment (μB).
Sites, in units of the cell vectors:
Cd (0.500, 0.500, 0.500)  0.02
Np (0.000, 0.000, 0.000)  4.13
Hg (0.250, 0.250, 0.250)  0.04

---

# 2
Material: Cd2Hg2O5
Method: DFT, PBE
State: optimized geometry

The calculation puts the volume at 139.39 Å³/cell. Its energy relative to the lowest polymorph listed for this composition is 0.029 eV/atom.

abc: 8.633 4.018 4.018
angles: 90.00 90.00 90.00
Sites, in units of the cell vectors:
Cd (0.500, 0.000, 0.000)
Hg (0.771, 0.500, 0.500)
Cd (0.000, 0.000, 0.000)
O (0.162, 0.500, 0.000)
O (0.162, 0.000, 0.500)
O (0.838, 0.500, 0.000)
O (0.500, 0.500, 0.500)
O (0.838, 0.000, 0.500)
Hg (0.229, 0.500, 0.500)

---

# 3
Material: Cd2Hg2O5
Method: DFT, PBE
State: optimized geometry

The calculation puts the volume at 138.41 Å³/cell. Its energy relative to the lowest polymorph listed for this composition is 0.000 eV/atom.

abc: 8.777 3.971 3.971
angles: 90.00 90.00 90.00
Sites, in units of the cell vectors:
Cd (0.246, 0.500, 0.500)
O (0.153, 0.500, 0.000)
O (0.847, 0.000, 0.500)
O (0.847, 0.500, 0.000)
O (0.153, 0.000, 0.500)
O (0.500, 0.500, 0.500)
Hg (0.500, 0.000, 0.000)
Hg (0.000, 0.000, 0.000)
Cd (0.754, 0.500, 0.500)

---

# 4
Material: CdHg2O4
Method: DFT, PBE
State: optimized geometry

The calculation puts the volume at 215.47 Å³/cell. The energy is -3.238 eV per atom.

abc: 6.730 6.730 6.730
angles: 120.02 89.97 120.02
Sites, in units of the cell vectors:
O (0.615, 0.230, 0.845)
Hg (0.375, 0.750, 0.625)
Hg (0.375, 0.250, 0.625)
Hg (0.375, 0.750, 0.125)
O (0.135, 0.730, 0.865)
O (0.615, 0.230, 0.385)
Cd (0.750, 0.500, 0.250)
O (0.155, 0.770, 0.385)
O (0.615, 0.770, 0.385)
O (0.595, 0.730, 0.865)
Hg (0.875, 0.250, 0.625)
Cd (0.000, 0.000, 0.000)
O (0.135, 0.270, 0.405)
O (0.135, 0.270, 0.865)